(1)
First-principles (PBE) data for a relaxed AcGa3Pb crystal, as listed in Alexandria.

a = 4.702 Å, b = 24.875 Å, c = 4.424 Å
α = 90.00°, β = 90.00°, γ = 90.00°
Space group Cmcm (No. 63)
One atom of each set of equivalent atoms:
Ac 0.000 0.077 0.250
Ga 0.000 0.320 0.750
Ga 0.000 0.375 0.250
Ga 0.000 0.476 0.250
Pb 0.000 0.203 0.750

Summary:
theoretical density: 8.26 g/cm³
ΔH_f (0 K): -0.35 eV/atom
magnetization: 0.00 μB per cell


(2)
First-principles (PBE) data for a relaxed MnZnAs2 crystal, as listed in Alexandria.

a = 3.740 Å, b = 4.603 Å, c = 7.785 Å
α = 90.00°, β = 90.00°, γ = 90.00°
Space group Immm (No. 71)
One atom of each set of equivalent atoms:
Mn 0.000 0.000 0.000
Zn 0.000 0.000 0.500
As 0.000 0.500 0.255

Summary:
theoretical density: 6.70 g/cm³
ΔH_f (0 K): 0.19 eV/atom
magnetization: 6.73 μB per cell


(3)
First-principles (PBE) data for a relaxed Li2LaMgPd4 crystal, as listed in Alexandria.

a = 4.4073 Å, b = 4.4073 Å, c = 25.1732 Å
α = 90.00°, β = 90.00°, γ = 120.00°
Space group R-3m (No. 166, hexagonal axes)
One atom of each set of equivalent atoms:
Li 0.0000 0.0000 0.2352
La 0.0000 0.0000 0.0000
Mg 0.0000 0.0000 0.5000
Pd 0.0000 0.0000 0.1263
Pd 0.0000 0.0000 0.3962

Summary:
theoretical density: 7.09 g/cm³
ΔH_f (0 K): -0.60 eV/atom
magnetization: 0.00 μB per cell


(4)
First-principles (PBE) data for a relaxed TiMnNbZn crystal, as listed in Alexandria.

a = 6.200 Å, b = 6.200 Å, c = 6.200 Å
α = 90.00°, β = 90.00°, γ = 90.00°
Space group F-43m (No. 216)
One atom of each set of equivalent atoms:
Ti 0.000 0.000 0.000
Mn 0.250 0.250 0.750
Nb 0.000 0.000 0.500
Zn 0.250 0.250 0.250

Summary:
theoretical density: 7.28 g/cm³
ΔH_f (0 K): -0.07 eV/atom
magnetization: 0.00 μB per cell


(5)
First-principles (PBE) data for a relaxed Ta2AlMo crystal, as listed in Alexandria.

a = 2.8636 Å, b = 2.8636 Å, c = 29.1628 Å
α = 90.00°, β = 90.00°, γ = 120.00°
Space group R3m (No. 160, hexagonal axes)
One atom of each set of equivalent atoms:
Ta 0.0000 0.0000 0.0000
Ta 0.0000 0.0000 0.2446
Al 0.0000 0.0000 0.4959
Mo 0.0000 0.0000 0.7523

Summary:
theoretical density: 11.66 g/cm³
ΔH_f (0 K): 0.16 eV/atom
magnetization: 0.00 μB per cell


(6)
First-principles (PBE) data for a relaxed SiTc2Mo crystal, as listed in Alexandria.

a = 2.847 Å, b = 4.036 Å, c = 5.039 Å
α = 90.00°, β = 90.11°, γ = 90.00°
Space group Pm (No. 6)
One atom of each set of equivalent atoms:
Si 0.000 0.000 0.000
Tc 0.497 0.500 0.227
Tc 0.998 0.000 0.497
Mo 0.501 0.500 0.749

Summary:
theoretical density: 9.18 g/cm³
uncorrected formation energy: -0.16 eV/atom
magnetization: 0.00 μB per cell